(1)
The following is a PBE calculation of crystalline LiTaAlPt at its relaxed geometry, from the Alexandria database.

POSCAR file:
```
LiTaAlPt
1.0
0.0000 3.1204 3.1204
3.1204 0.0000 3.1204
3.1204 3.1204 0.0000
Li Ta Al Pt
1 1 1 1
Cartesian
0.0000 0.0000 0.0000
1.5602 1.5602 1.5602
4.6806 4.6806 4.6806
3.1204 3.1204 3.1204
```

Summary:
E_form = -1.652 eV/f.u.
total moment = 0.205 μB per atom
Fermi-level density of states = 3.9 states/eV per cell
symmetry = F-43m

(2)
The following is a PBE calculation of crystalline Nb3Te4 at its relaxed geometry, from the Alexandria database.

POSCAR file:
```
Nb3Te4
1.0
10.8111 0.0000 0.0000
-5.4055 9.3627 0.0000
0.0000 0.0000 3.6511
Nb Te
6 8
Cartesian
-2.2109 5.7436 0.9128
1.5368 4.5762 0.9128
4.7315 0.9572 2.7384
0.6740 8.4055 0.9128
3.8687 4.7865 2.7384
7.6164 3.6190 2.7384
-1.1147 3.1640 0.9128
-2.1081 8.7460 0.9128
0.0000 6.2418 2.7384
2.1827 2.5473 2.7384
3.2228 6.8153 0.9128
5.4055 3.1209 0.9128
7.5136 0.6166 2.7384
6.5202 6.1987 2.7384
```

Summary:
total moment = 0.000 μB per atom
uncorrected formation energy = -0.4742 eV per atom
Fermi-level density of states = 7.3 states/eV per cell
symmetry = P6_3/m

(3)
The following is a PBE calculation of crystalline CsKNb2 at its relaxed geometry, from the Alexandria database.

POSCAR file:
```
CsKNb2
1.0
0.0000 4.3169 4.3169
4.3169 0.0000 4.3169
4.3169 4.3169 0.0000
Cs K Nb
1 1 2
Cartesian
0.0000 0.0000 0.0000
4.3169 4.3169 4.3169
2.1585 2.1585 2.1585
6.4754 6.4754 6.4754
```

Summary:
E_form = 9.220 eV/f.u.
total moment = 2.254 μB per atom
Fermi-level density of states = 6.1 states/eV per cell
symmetry = Fm-3m

(4)
The following is a PBE calculation of crystalline CuNi12Ge3 at its relaxed geometry, from the Alexandria database.

POSCAR file:
```
CuNi12Ge3
1.0
3.5744 0.0000 0.0000
0.0000 3.5744 0.0000
0.0000 0.0000 14.2343
Cu Ni Ge
1 12 3
Cartesian
0.0000 0.0000 0.0000
0.0000 1.7872 1.7630
0.0000 1.7872 5.3291
0.0000 1.7872 8.9052
0.0000 1.7872 12.4713
1.7872 0.0000 1.7630
1.7872 0.0000 5.3291
1.7872 0.0000 8.9052
1.7872 0.0000 12.4713
1.7872 1.7872 0.0000
1.7872 1.7872 3.5638
1.7872 1.7872 7.1172
1.7872 1.7872 10.6706
0.0000 0.0000 3.5093
0.0000 0.0000 7.1172
0.0000 0.0000 10.7250
```

Summary:
E_form = -3.057 eV/f.u.
total moment = 0.158 μB per atom
Fermi-level density of states = 17.8 states/eV per cell
symmetry = P4/mmm

(5)
The following is a PBE calculation of crystalline YMo at its relaxed geometry, from the Alexandria database.

POSCAR file:
```
YMo
1.0
1.5896 0.9177 4.9204
-1.5896 0.9177 4.9204
0.0000 -1.8355 4.9204
Y Mo
1 1
Cartesian
0.0000 0.0000 0.0000
0.0000 0.0000 7.3806
```

Summary:
E_form = 1.490 eV/f.u.
total moment = 0.205 μB per atom
Fermi-level density of states = 3.4 states/eV per cell
symmetry = R-3m

(6)
The following is a PBE calculation of crystalline LiDyInPb at its relaxed geometry, from the Alexandria database.

POSCAR file:
```
LiDyInPb
1.0
0.0000 3.6922 3.6922
3.6922 0.0000 3.6922
3.6922 3.6922 0.0000
Li Dy In Pb
1 1 1 1
Cartesian
0.0000 0.0000 0.0000
3.6922 3.6922 3.6922
1.8461 1.8461 1.8461
5.5384 5.5384 5.5384
```

Summary:
E_form = -1.308 eV/f.u.
total moment = 0.000 μB per atom
Fermi-level density of states = 2.1 states/eV per cell
symmetry = F-43m

(7)
The following is a PBE calculation of crystalline FePRh2 at its relaxed geometry, from the Alexandria database.

POSCAR file:
```
FePRh2
1.0
3.6235 0.0000 0.0000
0.0000 1.4068 5.2179
0.0000 -1.4068 5.2179
Fe P Rh
1 1 2
Cartesian
0.0000 0.0000 0.0000
1.8118 0.0000 6.1602
0.0000 0.0000 7.5606
1.8118 0.0000 3.9048
```

Summary:
E_form = -1.015 eV/f.u.
total moment = 0.656 μB per atom
Fermi-level density of states = 3.8 states/eV per cell
symmetry = Amm2

(8)
The following is a PBE calculation of crystalline KAc4Cd5 at its relaxed geometry, from the Alexandria database.

POSCAR file:
```
KAc4Cd5
1.0
4.0776 0.0000 0.0000
0.0000 4.0776 0.0000
0.0000 0.0000 21.0510
K Ac Cd
1 4 5
Cartesian
0.0000 0.0000 0.0000
0.0000 0.0000 4.4126
0.0000 0.0000 8.4774
0.0000 0.0000 12.5736
0.0000 0.0000 16.6384
2.0388 2.0388 2.4694
2.0388 2.0388 6.4499
2.0388 2.0388 10.5255
2.0388 2.0388 14.6011
2.0388 2.0388 18.5816
```

Summary:
E_form = -2.351 eV/f.u.
total moment = 0.000 μB per atom
Fermi-level density of states = 9.8 states/eV per cell
symmetry = P4/mmm

(9)
The following is a PBE calculation of crystalline PaMnCuTc at its relaxed geometry, from the Alexandria database.

POSCAR file:
```
PaMnCuTc
1.0
0.0000 3.1618 3.1618
3.1618 0.0000 3.1618
3.1618 3.1618 0.0000
Pa Mn Cu Tc
1 1 1 1
Cartesian
0.0000 0.0000 0.0000
4.7427 4.7427 4.7427
3.1618 3.1618 3.1618
1.5809 1.5809 1.5809
```

Summary:
E_form = 0.380 eV/f.u.
total moment = 0.521 μB per atom
Fermi-level density of states = 2.5 states/eV per cell
symmetry = F-43m

(10)
The following is a PBE calculation of crystalline La4Tc2Ag at its relaxed geometry, from the Alexandria database.

POSCAR file:
```
La4Tc2Ag
1.0
2.0897 -5.6117 0.0000
2.0897 5.6117 0.0000
0.0000 0.0000 18.9693
La Tc Ag
8 4 2
Cartesian
0.0000 0.0000 0.0000
0.0000 0.0000 9.4846
2.0897 2.4015 12.0602
2.0897 2.4015 16.3938
2.0897 1.0136 4.7423
2.0897 -1.0136 14.2270
2.0897 -2.4015 2.5755
2.0897 -2.4015 6.9091
2.0897 2.7080 0.5777
2.0897 2.7080 8.9070
2.0897 -2.7080 10.0623
2.0897 -2.7080 18.3916
2.0897 4.3544 4.7423
2.0897 -4.3544 14.2270
```

Summary:
E_form = 0.850 eV/f.u.
total moment = 0.000 μB per atom
Fermi-level density of states = 16.0 states/eV per cell
symmetry = Cmcm

(11)
The following is a PBE calculation of crystalline KWSe2Br at its relaxed geometry, from the Alexandria database.

POSCAR file:
```
KWSe2Br
1.0
4.9295 0.0000 0.0000
0.0000 4.9295 0.0000
0.0000 0.0000 5.6184
K W Se Br
1 1 2 1
Cartesian
0.0000 0.0000 0.0000
2.4647 2.4647 2.8092
0.0000 2.4647 2.8092
2.4647 0.0000 2.8092
2.4647 2.4647 0.0000
```

Summary:
total moment = 0.152 μB per atom
uncorrected formation energy = -0.3977 eV per atom
Fermi-level density of states = 4.0 states/eV per cell
symmetry = P4/mmm

(12)
The following is a PBE calculation of crystalline Ag2MoCl at its relaxed geometry, from the Alexandria database.

POSCAR file:
```
Ag2MoCl
1.0
1.5175 -2.4921 0.0000
1.5175 2.4921 0.0000
0.0000 0.0000 9.9446
Ag Mo Cl
2 1 1
Cartesian
0.0000 0.0000 0.0000
1.5175 0.0000 2.4095
0.0000 0.0000 4.8434
1.5175 0.0000 6.7616
```

Summary:
total moment = 0.000 μB per atom
uncorrected formation energy = 0.2613 eV per atom
Fermi-level density of states = 2.1 states/eV per cell
symmetry = Cmm2

(13)
The following is a PBE calculation of crystalline Tb6Hg3Pd at its relaxed geometry, from the Alexandria database.

POSCAR file:
```
Tb6Hg3Pd
1.0
9.7637 0.0000 0.0000
0.0000 5.0746 0.0000
-4.8552 0.0000 10.8929
Tb Hg Pd
12 6 2
Cartesian
-1.7524 1.2686 4.3326
0.7075 3.8059 2.3357
2.1165 1.2686 0.2870
0.4308 1.2686 7.1240
-0.5362 3.8059 9.4719
2.1962 1.2686 4.1489
2.7123 3.8059 6.7439
5.4447 1.2686 1.4210
4.4777 3.8059 3.7688
2.7920 3.8059 10.6059
4.2010 1.2686 8.5572
6.6609 3.8059 6.5603
-3.9645 3.8059 9.5993
-2.3790 1.2686 8.1236
-0.0423 3.8059 5.3604
4.9508 1.2686 5.5324
7.2875 3.8059 2.7693
8.8730 1.2686 1.2936
3.3782 3.8059 1.2339
1.5303 1.2686 9.6589
```

Summary:
E_form = -4.308 eV/f.u.
total moment = 0.000 μB per atom
Fermi-level density of states = 18.1 states/eV per cell
symmetry = P2_1/m

(14)
The following is a PBE calculation of crystalline BaHg2As2O7 at its relaxed geometry, from the Alexandria database.

POSCAR file:
```
BaHg2As2O7
1.0
2.8547 1.6482 7.8932
-2.8547 1.6482 7.8932
0.0000 -3.2964 7.8932
Ba Hg As O
1 2 2 7
Cartesian
0.0000 0.0000 0.0000
0.0000 0.0000 4.6243
0.0000 0.0000 19.0553
0.0000 0.0000 10.0609
0.0000 0.0000 13.6187
-0.9263 -1.3554 9.6018
-0.7107 -1.4799 14.0778
-0.7106 1.4799 9.6018
0.0000 0.0000 11.8398
-0.9263 1.3554 14.0778
1.6370 -0.1245 9.6018
1.6370 0.1245 14.0778
```

Summary:
total moment = 0.000 μB per atom
uncorrected formation energy = -1.2285 eV per atom
Fermi-level density of states = 2.7 states/eV per cell
symmetry = R32

(15)
The following is a PBE calculation of crystalline YErTm at its relaxed geometry, from the Alexandria database.

POSCAR file:
```
YErTm
1.0
2.4887 -7.4848 0.0000
2.4887 7.4848 0.0000
0.0000 0.0000 4.9757
Y Er Tm
2 2 2
Cartesian
2.4887 6.2309 3.7318
2.4887 -6.2309 1.2439
2.4887 3.7464 1.2439
2.4887 -3.7464 3.7318
2.4887 1.2590 3.7318
2.4887 -1.2590 1.2439
```

Summary:
E_form = 0.092 eV/f.u.
total moment = 0.003 μB per atom
Fermi-level density of states = 8.1 states/eV per cell
symmetry = Cmcm

(16)
The following is a PBE calculation of crystalline K3Nd2HoSe6 at its relaxed geometry, from the Alexandria database.

POSCAR file:
```
K3Nd2HoSe6
1.0
3.7232 -6.4493 0.0000
3.7232 6.4493 0.0000
-2.4843 0.0000 7.7007
K Nd Ho Se
3 2 1 6
Cartesian
0.0000 0.0000 0.0000
3.7232 2.1674 0.0000
3.7232 -2.1674 0.0000
2.4811 4.3020 3.8504
2.4811 -4.3020 3.8504
2.4811 0.0000 3.8504
1.2735 2.0931 2.2439
0.0653 0.0000 5.4581
1.2735 -2.0931 2.2439
3.6886 2.0931 5.4568
4.8969 0.0000 2.2427
3.6886 -2.0931 5.4568
```

Summary:
total moment = 0.000 μB per atom
uncorrected formation energy = -1.7536 eV per atom
Fermi-level density of states = 0.0 states/eV per cell
symmetry = C2/m

(17)
The following is a PBE calculation of crystalline VGe3 at its relaxed geometry, from the Alexandria database.

POSCAR file:
```
VGe3
1.0
5.0800 0.0000 0.0000
0.0000 5.0800 0.0000
0.0000 0.0000 5.0800
V Ge
2 6
Cartesian
0.0000 0.0000 0.0000
2.5400 2.5400 2.5400
0.0000 1.2700 2.5400
0.0000 3.8100 2.5400
1.2700 2.5400 0.0000
2.5400 0.0000 1.2700
2.5400 0.0000 3.8100
3.8100 2.5400 0.0000
```

Summary:
E_form = 0.860 eV/f.u.
total moment = 0.379 μB per atom
Fermi-level density of states = 4.5 states/eV per cell
symmetry = Pm-3n

(18)
The following is a PBE calculation of crystalline PrZn4Ir2 at its relaxed geometry, from the Alexandria database.

POSCAR file:
```
PrZn4Ir2
1.0
7.7602 0.0000 0.0000
0.0000 7.7602 0.0000
0.0000 0.0000 4.1066
Pr Zn Ir
2 8 4
Cartesian
0.0000 0.0000 0.0000
3.8801 3.8801 2.0533
0.7031 2.6840 2.0533
1.1961 4.5832 0.0000
2.6840 0.7031 2.0533
3.1769 6.5641 0.0000
4.5832 1.1961 0.0000
5.0762 7.0570 2.0533
6.5641 3.1769 0.0000
7.0570 5.0762 2.0533
1.6691 6.0911 2.0533
2.2110 2.2110 0.0000
5.5492 5.5492 0.0000
6.0911 1.6691 2.0533
```

Summary:
E_form = -2.681 eV/f.u.
total moment = 0.000 μB per atom
Fermi-level density of states = 3.9 states/eV per cell
symmetry = P4_2/mnm

(19)
The following is a PBE calculation of crystalline Li2CdRe2 at its relaxed geometry, from the Alexandria database.

POSCAR file:
```
Li2CdRe2
1.0
-1.7579 1.7579 7.3105
1.7579 -1.7579 7.3105
1.7579 1.7579 -7.3105
Li Cd Re
2 1 2
Cartesian
0.0000 0.0000 1.4643
0.0000 0.0000 13.1568
0.0000 0.0000 7.3105
1.7579 0.0000 3.6553
0.0000 1.7579 3.6553
```

Summary:
E_form = 2.558 eV/f.u.
total moment = 0.000 μB per atom
Fermi-level density of states = 3.0 states/eV per cell
symmetry = I4/mmm

(20)
The following is a PBE calculation of crystalline Y3B8Os3 at its relaxed geometry, from the Alexandria database.

POSCAR file:
```
Y3B8Os3
1.0
-1.6623 4.6850 5.3959
1.6623 -4.6850 5.3959
1.6623 4.6850 -5.3959
Y B Os
3 8 3
Cartesian
0.0000 0.0000 0.0000
0.0000 0.0000 3.1218
0.0000 0.0000 7.6700
1.6623 1.9304 -2.1057
1.6623 -1.9070 3.8882
1.6623 1.9304 2.1057
0.0000 2.7780 1.5077
1.6623 1.9070 3.8882
0.0000 2.7546 3.2902
0.0000 6.5920 1.5077
0.0000 2.7546 7.5016
1.6623 2.4577 0.0000
0.0000 4.6850 0.0000
0.0000 2.2273 5.3959
```

Summary:
E_form = -1.491 eV/f.u.
total moment = 0.000 μB per atom
Fermi-level density of states = 5.8 states/eV per cell
symmetry = Immm

(21)
The following is a PBE calculation of crystalline NdY2Ag2 at its relaxed geometry, from the Alexandria database.

POSCAR file:
```
NdY2Ag2
1.0
5.2910 0.0000 0.0000
0.0000 4.9437 0.0000
-0.8849 0.0000 11.0152
Nd Y Ag
2 4 4
Cartesian
0.8261 1.2359 2.6801
3.5800 3.7077 8.3351
0.8881 3.7077 5.4421
1.0265 1.2359 9.7763
3.3797 3.7077 1.2389
3.5181 1.2359 5.5731
0.7569 3.7077 0.0655
0.8779 1.2359 6.9667
3.5282 3.7077 4.0485
3.6493 1.2359 10.9496
```

Summary:
E_form = -0.609 eV/f.u.
total moment = 0.000 μB per atom
Fermi-level density of states = 12.0 states/eV per cell
symmetry = P2_1/m

(22)
The following is a PBE calculation of crystalline AcHgBiSb at its relaxed geometry, from the Alexandria database.

POSCAR file:
```
AcHgBiSb
1.0
4.7638 0.0000 0.0000
0.0000 5.0322 0.0000
0.0000 0.0000 5.1296
Ac Hg Bi Sb
1 1 1 1
Cartesian
0.0000 0.0000 0.0000
2.3819 2.5161 0.0000
0.0000 2.5161 2.5648
2.3819 0.0000 2.5648
```

Summary:
total moment = 0.000 μB per atom
uncorrected formation energy = -0.5640 eV per atom
Fermi-level density of states = 1.3 states/eV per cell
symmetry = Pmmm

(23)
The following is a PBE calculation of crystalline Cd3HgPd7 at its relaxed geometry, from the Alexandria database.

POSCAR file:
```
Cd3HgPd7
1.0
4.6032 -4.7302 0.0000
4.6032 4.7302 0.0000
-2.2027 0.0000 4.7859
Cd Hg Pd
3 1 7
Cartesian
0.0000 0.0000 0.0000
3.5019 2.7033 2.3929
3.5019 -2.7033 2.3929
4.6032 0.0000 0.0000
1.1959 2.4126 3.9319
0.7760 0.0000 2.5562
5.8079 2.4126 0.8540
3.5019 0.0000 2.3929
1.1959 -2.4126 3.9319
6.2278 0.0000 2.2297
5.8079 -2.4126 0.8540
```

Summary:
E_form = -0.750 eV/f.u.
total moment = 0.000 μB per atom
Fermi-level density of states = 3.8 states/eV per cell
symmetry = C2/m

(24)
The following is a PBE calculation of crystalline Sm2TmAl4Pt3 at its relaxed geometry, from the Alexandria database.

POSCAR file:
```
Sm2TmAl4Pt3
1.0
4.2219 0.0000 0.0000
0.0000 4.2219 0.0000
0.0000 0.0000 11.5491
Sm Tm Al Pt
2 1 4 3
Cartesian
0.0000 2.1109 2.6390
2.1109 0.0000 8.9101
0.0000 0.0000 5.7745
0.0000 0.0000 0.0000
0.0000 2.1109 7.6907
2.1109 0.0000 3.8583
2.1109 2.1109 0.0000
0.0000 2.1109 10.1357
2.1109 0.0000 1.4134
2.1109 2.1109 5.7745
```

Summary:
E_form = -9.310 eV/f.u.
total moment = 0.000 μB per atom
Fermi-level density of states = 8.5 states/eV per cell
symmetry = P-4m2